{
  "formula": "MgNi3B",
  "functional": "PBE-GGA",
  "state": "optimized geometry",
  "dft_energy_ry_per_atom": -0.23391,
  "de_polymorph_kj_per_mol_fu": 1068,
  "lattice": [[4.249, 0.000, 0.000], [0.000, 4.249, 0.000], [0.000, 0.000, 4.249]],
  "species": ["Mg", "Ni", "Ni", "Ni", "B"],
  "fractional_positions": [[0.000, 0.000, 0.000], [0.000, 0.000, 0.500], [0.000, 0.500, 0.000], [0.500, 0.000, 0.000], [0.500, 0.500, 0.500]]
}